(1)
Entry from Alexandria via LeMat-Bulk: Ti4GaIr after structural relaxation (PBE-GGA).

a = 5.3928 Å, b = 5.3928 Å, c = 6.2654 Å
α = 106.81°, β = 106.81°, γ = 33.46°
Last column: nearest neighbours and their distance in Å.
Fractional positions:
Ti: 0.1615 0.1615 0.3372  2 Ir 2.69, 2 Ga 2.74, 4 Ti 2.77-2.80
Ti: 0.1642 0.1642 0.8267  2 Ir 2.72, 2 Ga 2.75, 4 Ti 2.80-2.82
Ti: 0.8358 0.8358 0.1733  2 Ir 2.72, 2 Ga 2.75, 4 Ti 2.80-2.82
Ti: 0.8385 0.8385 0.6628  2 Ir 2.69, 2 Ga 2.74, 4 Ti 2.77-2.80
Ga: 0.5000 0.5000 0.0000  8 Ti 2.74-2.75
Ir: 0.5000 0.5000 0.5000  8 Ti 2.69-2.72

**DFT total energy**: -7.7464 eV per atom
**Symmetry**: C2/m, No. 12
**N(E_F)**: 4.327 states/eV per cell
**Calculated formation energy**: -502 meV per atom

=====

(2)
Entry from Alexandria via LeMat-Bulk: Pr10Nd4Er after structural relaxation (PBE-GGA).

a = 9.1837 Å, b = 9.1837 Å, c = 9.1837 Å
α = 100.95°, β = 100.95°, γ = 128.33°
Last column: nearest neighbours and their distance in Å.
Fractional positions:
Pr: 0.0007 0.7883 0.2123  4 Pr 3.38-3.51, 1 Er 3.39, 4 Nd 3.53-3.67
Pr: 0.2117 0.4240 0.2123  4 Pr 3.38-3.51, 1 Er 3.39, 4 Nd 3.53-3.67
Pr: 0.2117 0.9993 0.7877  4 Pr 3.38-3.51, 1 Er 3.39, 4 Nd 3.53-3.67
Pr: 0.2500 0.7500 0.5000  4 Pr 3.38
Pr: 0.4240 0.2117 0.2123  4 Pr 3.38-3.51, 1 Er 3.39, 4 Nd 3.53-3.67
Pr: 0.5760 0.7883 0.7877  4 Pr 3.38-3.51, 1 Er 3.39, 4 Nd 3.53-3.67
Pr: 0.7500 0.2500 0.5000  4 Pr 3.38
Pr: 0.7883 0.0007 0.2123  4 Pr 3.38-3.51, 1 Er 3.39, 4 Nd 3.53-3.67
Pr: 0.7883 0.5760 0.7877  4 Pr 3.38-3.51, 1 Er 3.39, 4 Nd 3.53-3.67
Pr: 0.9993 0.2117 0.7877  4 Pr 3.38-3.51, 1 Er 3.39, 4 Nd 3.53-3.67
Nd: 0.2720 0.2720 0.5440  8 Pr 3.53-3.67, 1 Er 3.77
Nd: 0.2720 0.7280 0.0000  8 Pr 3.53-3.67, 1 Er 3.77
Nd: 0.7280 0.2720 0.0000  8 Pr 3.53-3.67, 1 Er 3.77
Nd: 0.7280 0.7280 0.4560  8 Pr 3.53-3.67, 1 Er 3.77
Er: 0.5000 0.5000 0.0000  8 Pr 3.39, 4 Nd 3.77

**DFT total energy**: -4.5500 eV per atom
**Symmetry**: I4/mmm, No. 139
**N(E_F)**: 21.262 states/eV per cell
**Calculated formation energy**: 212 meV per atom

=====

(3)
Entry from Alexandria via LeMat-Bulk: Nd2Dy3Ga4 after structural relaxation (PBE-GGA).

a = 8.6810 Å, b = 8.6810 Å, c = 8.5904 Å
α = 90.00°, β = 90.00°, γ = 133.08°
Last column: nearest neighbours and their distance in Å.
Fractional positions:
Nd: 0.1065 0.8935 0.9202  6 Ga 3.18-3.52
Nd: 0.3935 0.6065 0.4202  6 Ga 3.18-3.52
Nd: 0.6065 0.3935 0.5798  6 Ga 3.18-3.52
Nd: 0.8935 0.1065 0.0798  6 Ga 3.18-3.52
Dy: 0.0000 0.0000 0.5000  6 Ga 2.81-2.97
Dy: 0.0336 0.4664 0.7500  5 Ga 2.91-3.08
Dy: 0.4664 0.0336 0.2500  5 Ga 2.91-3.08
Dy: 0.5000 0.5000 0.0000  6 Ga 2.81-2.97
Dy: 0.5336 0.9664 0.7500  5 Ga 2.91-3.08
Dy: 0.9664 0.5336 0.2500  5 Ga 2.91-3.08
Ga: 0.1850 0.8150 0.5410  5 Dy 2.95-3.08
Ga: 0.2163 0.2837 0.7500  3 Dy 2.81-2.91
Ga: 0.2837 0.2163 0.2500  3 Dy 2.81-2.91
Ga: 0.3150 0.6850 0.0410  5 Dy 2.95-3.08
Ga: 0.6850 0.3150 0.9590  5 Dy 2.95-3.08
Ga: 0.7163 0.7837 0.7500  3 Dy 2.81-2.91
Ga: 0.7837 0.7163 0.2500  3 Dy 2.81-2.91
Ga: 0.8150 0.1850 0.4590  5 Dy 2.95-3.08

**DFT total energy**: -4.3626 eV per atom
**Symmetry**: Cmce, No. 64
**N(E_F)**: 12.863 states/eV per cell
**Calculated formation energy**: -424 meV per atom